VASP calculation (GGA-PBE) on crystalline Ba6Sr2TlRh at its relaxed geometry.

Results
Theoretical density   3.87 g cm⁻³
V   56.01 A^3/atom
DFT formation energy   -102 meV per atom
SG   Fm-3m, No. 225

Cell lengths 9.2528, 9.2528, 9.2528 Å; angles 60.00, 60.00, 90.00 degrees
Closest atoms and distances in Å follow each position.
Fractional coordinates of all 10 atoms:
Sr (0.7500, 0.2500, 0.5000)  12 Ba 4.63
Rh (0.0000, 0.0000, 0.0000)  6 Ba 3.08
Ba (0.7646, 0.2354, 0.0000)  1 Rh 3.08
Ba (0.2354, 0.7646, 0.0000)  1 Rh 3.08
Sr (0.2500, 0.7500, 0.5000)  12 Ba 4.63
Ba (0.2354, 0.2354, 0.0000)  1 Rh 3.08
Tl (0.5000, 0.5000, 0.0000)  6 Ba 3.46
Ba (0.2354, 0.2354, 0.5293)  1 Rh 3.08
Ba (0.7646, 0.7646, 0.0000)  1 Rh 3.08
Ba (0.7646, 0.7646, 0.4707)  1 Rh 3.08

***

VASP calculation (GGA-PBE) on crystalline SrAlNi2 at its relaxed geometry.

Results
Theoretical density   5.40 g cm⁻³
V   17.83 A^3/atom
DFT formation energy   32 meV per atom
SG   Pmm2, No. 25

Cell lengths 3.2343, 3.1209, 7.0637 Å; angles 90.00, 90.00, 90.00 degrees
Closest atoms and distances in Å follow each position.
Fractional coordinates of all 4 atoms:
Sr (0.0000, 0.0000, 0.4761)  5 Ni 3.09-3.29, 4 Sr 3.12-3.23, 4 Al 3.40
Ni (0.5000, 0.5000, 0.1755)  1 Al 2.39, 4 Ni 2.53
Al (0.5000, 0.5000, 0.8377)  5 Ni 2.39-2.56
Ni (0.0000, 0.0000, 0.0107)  4 Ni 2.53, 4 Al 2.56

***

VASP calculation (GGA-PBE) on crystalline Al2InSe at its relaxed geometry.

Results
Theoretical density   4.53 g cm⁻³
V   22.72 A^3/atom
Energy above the most stable polymorph in this dataset   0 meV per atom
SG   R3m, No. 160
Formation energy (no corrections)   -0.10 eV per atom

Cell lengths 8.2077, 8.2077, 8.2077 Å; angles 25.60, 25.60, 25.60 degrees
Closest atoms and distances in Å follow each position.
Fractional coordinates of all 4 atoms:
Al (0.2589, 0.2589, 0.2589)  3 Al 2.84, 3 In 2.99
Al (0.0062, 0.0062, 0.0062)  3 Se 2.53
In (0.5030, 0.5030, 0.5030)  3 Al 2.99, 3 Se 3.25
Se (0.7319, 0.7319, 0.7319)  3 Al 2.53

***

VASP calculation (GGA-PBE) on crystalline Li8BiP2 at its relaxed geometry.

Results
Theoretical density   3.00 g cm⁻³
V   16.44 A^3/atom
DFT formation energy   -543 meV per atom
SG   P1, No. 1

Cell lengths 4.3442, 6.3116, 7.6128 Å; angles 114.13, 105.94, 91.50 degrees
Closest atoms and distances in Å follow each position.
Fractional coordinates of all 11 atoms:
Li (0.9402, 0.0377, 0.5641)  3 P 2.58-2.69, 4 Li 2.74-2.81, 1 Bi 2.83
Li (0.3079, 0.8473, 0.3009)  3 P 2.54-2.56, 6 Li 2.60-2.82
P (0.7785, 0.6179, 0.2541)  9 Li 2.54-2.75
P (0.4366, 0.2755, 0.5674)  9 Li 2.54-2.73
Li (0.4967, 0.7147, 0.6441)  1 P 2.58, 3 Li 2.61-2.71, 2 Bi 2.84-2.86
Li (0.2863, 0.3813, 0.2555)  3 P 2.58-2.70, 4 Li 2.71-2.81, 1 Bi 2.83
Li (0.7584, 0.9710, 0.1683)  1 P 2.56, 3 Li 2.60-2.74, 2 Bi 2.83-2.85
Li (0.9173, 0.4536, 0.5173)  3 P 2.54-2.55, 6 Li 2.61-2.82
Bi (0.1353, 0.9437, 0.9087)  9 Li 2.80-2.98
Li (0.6753, 0.2468, 0.9103)  1 Li 2.46, 2 P 2.61
Li (0.2676, 0.5107, 0.9093)  1 Li 2.46, 2 P 2.73-2.75